GGA-PBE YCu2Ru, optimized geometry; polymorph energy (0 for the lowest one) = 87 meV/atom
1.0
3.4310 0.0000 0.0000
0.0000 3.3635 0.4057
0.0000 2.6898 6.0106
Ru Y Cu
1 1 2
Cartesian
1.7155 1.5133 1.6041
1.7155 4.5400 4.8122
0.0000 3.0524 2.9943
0.0000 3.3378 0.6195